DFT (GGA-PBE) results for a relaxed GdDy2Er crystal.

Lattice parameters (Å, degrees): 5.6512 5.6512 5.6512 60.00 60.00 60.00
Sites, in units of the cell vectors:
Dy1 0.2500 0.2500 0.2500
Dy2 0.7500 0.7500 0.7500
Er1 0.0000 0.0000 0.0000
Gd1 0.5000 0.5000 0.5000

## Properties
ΔE_f   0.124 eV/atom
Total energy   -6.838 eV per atom
Spin magnetization   8.98 μB per formula unit
Mass density   8.451 g cm⁻³
Excess energy over the best structure of this formula in the dataset   0.41 eV/f.u.

=====

DFT (GGA-PBE) results for a relaxed La8Co3H crystal.

Lattice parameters (Å, degrees): 5.5512 8.7211 8.7417 106.96 108.51 90.00
Sites, in units of the cell vectors:
La1 0.3379 0.9947 0.6758
La2 0.4446 0.6474 0.8892
La3 0.2204 0.3262 0.4408
La4 0.8864 0.3117 0.7728
La5 0.6617 0.0032 0.3235
La6 0.5574 0.3415 0.1148
La7 0.1165 0.6917 0.2330
La8 0.7775 0.6647 0.5550
Co1 0.6151 0.6853 0.2302
Co2 0.7159 0.3242 0.4318
Co3 0.3897 0.3122 0.7794
H1 0.2751 0.6668 0.5503

## Properties
Total energy   -5.386 eV per atom
Spin magnetization   0.00 μB per formula unit
Mass density   5.606 g cm⁻³

=====

DFT (GGA-PBE) results for a relaxed CuRu2Cl crystal.

Lattice parameters (Å, degrees): 3.0083 3.0083 6.2227 90.00 90.00 90.00
Sites, in units of the cell vectors:
Ru1 0.0000 0.0000 0.5237
Ru2 0.0000 0.0000 0.9763
Cl1 0.5000 0.5000 0.2500
Cu1 0.5000 0.5000 0.7500

## Properties
Uncorrected formation energy   0.716 eV/atom
Total energy   -5.407 eV per atom
Spin magnetization   0.86 μB per formula unit
Mass density   8.879 g cm⁻³
Excess energy over the best structure of this formula in the dataset   1.89 eV/f.u.

=====

DFT (GGA-PBE) results for a relaxed Nd2Dy12Tm5 crystal.

Lattice parameters (Å, degrees): 9.1857 12.3673 8.4878 132.60 90.00 111.80
Sites, in units of the cell vectors:
Dy1 0.9762 0.3149 0.0710
Dy2 0.0238 0.6851 0.9290
Dy3 0.4412 0.8825 0.2124
Dy4 0.9053 0.8107 0.6936
Dy5 0.6613 0.6851 0.9290
Dy6 0.0947 0.1893 0.3064
Dy7 0.8180 0.2521 0.5994
Dy8 0.3387 0.3149 0.0710
Dy9 0.5588 0.1175 0.7876
Dy10 0.5659 0.7479 0.4006
Dy11 0.1820 0.7479 0.4006
Dy12 0.4341 0.2521 0.5994
Nd1 0.6837 0.0000 0.0000
Nd2 0.3163 0.0000 0.0000
Tm1 0.2319 0.4639 0.8880
Tm2 0.7681 0.5361 0.1120
Tm3 0.3032 0.6063 0.6156
Tm4 0.0000 0.0000 0.5000
Tm5 0.6968 0.3937 0.3844

## Properties
ΔE_f   0.135 eV/atom
Total energy   -4.450 eV per atom
Spin magnetization   0.00 μB per formula unit
Mass density   8.355 g cm⁻³
Excess energy over the best structure of this formula in the dataset   0.53 eV/f.u.

=====

DFT (GGA-PBE) results for a relaxed TbPm2Tl4 crystal.

Lattice parameters (Å, degrees): 5.3473 7.8880 10.4005 90.00 90.00 90.00
Sites, in units of the cell vectors:
Pm1 0.5000 0.0000 0.7887
Pm2 0.5000 0.5000 0.2887
Pm3 0.5000 0.5000 0.7113
Pm4 0.5000 0.0000 0.2113
Tb1 0.0000 0.5000 0.0000
Tb2 0.0000 0.0000 0.5000
Tl1 0.5000 0.7121 0.0000
Tl2 0.0000 0.7500 0.7500
Tl3 0.5000 0.2879 0.0000
Tl4 0.0000 0.2500 0.2500
Tl5 0.0000 0.7500 0.2500
Tl6 0.5000 0.2121 0.5000
Tl7 0.0000 0.2500 0.7500
Tl8 0.5000 0.7879 0.5000

## Properties
ΔE_f   -0.251 eV/atom
Total energy   -3.622 eV per atom
Spin magnetization   0.00 μB per formula unit
Mass density   9.588 g cm⁻³
Excess energy over the best structure of this formula in the dataset   0.00 eV/f.u.

=====

DFT (GGA-PBE) results for a relaxed Sr6Rh2AuCl3 crystal.

Lattice parameters (Å, degrees): 7.4197 7.4197 8.1218 98.75 98.75 120.04
Sites, in units of the cell vectors:
Sr1 0.5735 0.9262 0.7772
Sr2 0.0738 0.4265 0.2228
Sr3 0.2773 0.2773 0.7749
Sr4 0.4265 0.0738 0.2228
Sr5 0.7227 0.7227 0.2251
Sr6 0.9262 0.5735 0.7772
Rh1 0.3344 0.6656 0.0000
Rh2 0.6656 0.3344 0.0000
Cl1 0.8324 0.1676 0.5000
Cl2 0.5000 0.5000 0.5000
Cl3 0.1676 0.8324 0.5000
Au1 0.0000 0.0000 0.0000

## Properties
Uncorrected formation energy   -1.100 eV/atom
Total energy   -3.901 eV per atom
Spin magnetization   0.00 μB per formula unit
Mass density   4.661 g cm⁻³

=====

DFT (GGA-PBE) results for a relaxed LaPF2 crystal.

Lattice parameters (Å, degrees): 7.9149 7.9149 7.9149 24.25 24.25 24.25
Sites, in units of the cell vectors:
La1 0.5000 0.5000 0.5000
F1 0.9079 0.9079 0.9079
F2 0.0921 0.0921 0.0921
P1 0.0000 0.0000 0.0000

## Properties
Uncorrected formation energy   -1.576 eV/atom
Total energy   -5.096 eV per atom
Spin magnetization   0.00 μB per formula unit
Mass density   4.696 g cm⁻³
Excess energy over the best structure of this formula in the dataset   2.81 eV/f.u.

=====

DFT (GGA-PBE) results for a relaxed Cs2HfInBr6 crystal.

Lattice parameters (Å, degrees): 8.2890 8.2890 8.2907 60.01 60.01 90.00
Sites, in units of the cell vectors:
Br1 0.2282 0.7718 0.0000
Br2 0.7718 0.7718 0.0000
Br3 0.7717 0.7717 0.4566
Br4 0.2283 0.2283 0.5434
Br5 0.7718 0.2282 0.0000
Br6 0.2282 0.2282 0.0000
Cs1 0.7500 0.2500 0.5000
Cs2 0.2500 0.7500 0.5000
In1 0.5000 0.5000 0.0000
Hf1 0.0000 0.0000 0.0000

## Properties
Uncorrected formation energy   -1.334 eV/atom
Total energy   -3.777 eV per atom
Spin magnetization   1.00 μB per formula unit
Mass density   4.281 g cm⁻³
Excess energy over the best structure of this formula in the dataset   0.06 eV/f.u.

=====

DFT (GGA-PBE) results for a relaxed AsIr2Cl crystal.

Lattice parameters (Å, degrees): 3.0565 3.0565 7.0319 90.00 90.00 90.00
Sites, in units of the cell vectors:
Cl1 0.5000 0.5000 0.7500
Ir1 0.0000 0.0000 0.4503
Ir2 0.0000 0.0000 0.0497
As1 0.5000 0.5000 0.2500

## Properties
Uncorrected formation energy   0.523 eV/atom
Total energy   -5.531 eV per atom
Spin magnetization   0.00 μB per formula unit
Mass density   12.507 g cm⁻³
Excess energy over the best structure of this formula in the dataset   1.08 eV/f.u.

=====

DFT (GGA-PBE) results for a relaxed Nd3Sm3Cd2 crystal.

Lattice parameters (Å, degrees): 5.3855 6.5575 15.8679 90.00 90.00 114.25
Sites, in units of the cell vectors:
Nd1 0.2669 0.5338 0.7500
Nd2 0.7331 0.4662 0.2500
Nd3 0.9634 0.9267 0.3926
Nd4 0.0366 0.0733 0.8926
Nd5 0.0366 0.0733 0.6074
Nd6 0.9634 0.9267 0.1074
Sm1 0.4575 0.9151 0.2500
Sm2 0.5425 0.0849 0.7500
Sm3 0.6438 0.2876 0.0299
Sm4 0.3562 0.7124 0.5299
Sm5 0.3562 0.7124 0.9701
Sm6 0.6438 0.2876 0.4701
Cd1 0.7710 0.5420 0.6402
Cd2 0.2290 0.4580 0.3598
Cd3 0.7710 0.5420 0.8598
Cd4 0.2290 0.4580 0.1402

## Properties
ΔE_f   -0.067 eV/atom
Total energy   -3.854 eV per atom
Spin magnetization   0.00 μB per formula unit
Mass density   7.206 g cm⁻³

=====

DFT (GGA-PBE) results for a relaxed PmNi3Ge crystal.

Lattice parameters (Å, degrees): 5.7448 5.7448 11.6313 90.00 90.00 120.00
Sites, in units of the cell vectors:
Ni1 0.8641 0.7282 0.2500
Ni2 0.7282 0.8641 0.7500
Ni3 0.5000 0.5000 0.5000
Ni4 0.0000 0.5000 0.5000
Ni5 0.8641 0.1359 0.2500
Ni6 0.5000 0.0000 0.0000
Ni7 0.1359 0.8641 0.7500
Ni8 0.5000 0.5000 0.0000
Ni9 0.1359 0.2718 0.7500
Ni10 0.2718 0.1359 0.2500
Ni11 0.0000 0.5000 0.0000
Ni12 0.5000 0.0000 0.5000
Ge1 0.3333 0.6667 0.8628
Ge2 0.3333 0.6667 0.6372
Ge3 0.6667 0.3333 0.3628
Ge4 0.6667 0.3333 0.1372
Pm1 0.6667 0.3333 0.7500
Pm2 0.0000 0.0000 0.0000
Pm3 0.0000 0.0000 0.5000
Pm4 0.3333 0.6667 0.2500

## Properties
ΔE_f   -0.269 eV/atom
Total energy   -5.611 eV per atom
Spin magnetization   0.00 μB per formula unit
Mass density   7.867 g cm⁻³
Excess energy over the best structure of this formula in the dataset   0.00 eV/f.u.

=====

DFT (GGA-PBE) results for a relaxed SrSiSb crystal.

Lattice parameters (Å, degrees): 5.1876 5.1876 5.1876 60.00 60.00 60.00
Sites, in units of the cell vectors:
Sb1 0.0000 0.0000 0.0000
Si1 0.5000 0.5000 0.5000
Sr1 0.7500 0.7500 0.7500

## Properties
Uncorrected formation energy   0.241 eV/atom
Total energy   -3.501 eV per atom
Spin magnetization   0.00 μB per formula unit
Mass density   3.994 g cm⁻³
Excess energy over the best structure of this formula in the dataset   2.16 eV/f.u.